Nd3Y3Fe10O24: optimized geometry, PBE with a Hubbard U.

Output
Total magnetization, μB per cell: 68.0
Symmetry: No. 214
VASP energy, eV/atom: -7.218

Geometry as CIF:
```
data_Nd3Y3Fe10O24
_chemical_formula_sum 'Nd6 Y6 Fe20 O48'
_space_group_name_H-M_alt 'P 1'
_space_group_IT_number 1
_cell_length_a 10.866
_cell_length_b 10.866
_cell_length_c 10.866
_cell_angle_alpha 109.47
_cell_angle_beta 109.47
_cell_angle_gamma 109.47
loop_
_space_group_symop_operation_xyz
'x,y,z'
loop_
_atom_site_label
_atom_site_fract_x
_atom_site_fract_y
_atom_site_fract_z
Nd1 0.250 0.875 0.625
Nd2 0.625 0.250 0.875
Nd3 0.625 0.875 0.750
Nd4 0.750 0.625 0.875
Nd5 0.875 0.625 0.250
Nd6 0.875 0.750 0.625
Y1 0.125 0.250 0.375
Y2 0.125 0.375 0.750
Y3 0.250 0.375 0.125
Y4 0.375 0.125 0.250
Y5 0.375 0.750 0.125
Y6 0.750 0.125 0.375
Fe1 0.000 0.004 0.500
Fe2 0.000 0.496 0.500
Fe3 0.004 0.004 0.004
Fe4 0.004 0.500 0.000
Fe5 0.127 0.750 0.877
Fe6 0.127 0.877 0.250
Fe7 0.250 0.127 0.877
Fe8 0.250 0.623 0.373
Fe9 0.373 0.250 0.623
Fe10 0.373 0.623 0.750
Fe11 0.496 0.496 0.496
Fe12 0.496 0.500 0.000
Fe13 0.500 0.000 0.004
Fe14 0.500 0.000 0.496
Fe15 0.623 0.373 0.250
Fe16 0.623 0.750 0.373
Fe17 0.750 0.373 0.623
Fe18 0.750 0.877 0.127
Fe19 0.877 0.127 0.750
Fe20 0.877 0.250 0.127
O1 0.031 0.205 0.125
O2 0.031 0.326 0.906
O3 0.081 0.698 0.676
O4 0.081 0.884 0.405
O5 0.095 0.616 0.419
O6 0.095 0.978 0.676
O7 0.125 0.031 0.205
O8 0.125 0.594 0.920
O9 0.174 0.205 0.580
O10 0.174 0.469 0.594
O11 0.205 0.125 0.031
O12 0.205 0.580 0.174
O13 0.295 0.326 0.920
O14 0.295 0.469 0.375
O15 0.326 0.906 0.031
O16 0.326 0.920 0.295
O17 0.375 0.295 0.469
O18 0.375 0.580 0.906
O19 0.405 0.081 0.884
O20 0.405 0.824 0.522
O21 0.419 0.095 0.616
O22 0.419 0.824 0.802
O23 0.469 0.375 0.295
O24 0.469 0.594 0.174
O25 0.522 0.405 0.824
O26 0.522 0.616 0.698
O27 0.580 0.174 0.205
O28 0.580 0.906 0.375
O29 0.594 0.174 0.469
O30 0.594 0.920 0.125
O31 0.616 0.419 0.095
O32 0.616 0.698 0.522
O33 0.676 0.081 0.698
O34 0.676 0.095 0.978
O35 0.698 0.522 0.616
O36 0.698 0.676 0.081
O37 0.802 0.419 0.824
O38 0.802 0.884 0.978
O39 0.824 0.522 0.405
O40 0.824 0.802 0.419
O41 0.884 0.405 0.081
O42 0.884 0.978 0.802
O43 0.906 0.031 0.326
O44 0.906 0.375 0.580
O45 0.920 0.125 0.594
O46 0.920 0.295 0.326
O47 0.978 0.676 0.095
O48 0.978 0.802 0.884
```